This record from the Alexandria database describes SiAuCl after structural relaxation. The functional is PBE.

Values from the calculation:
**Raw formation energy**: 120 kJ/mol of formula units
**Final energy**: -9.30 eV/cell
**Energy above the most stable polymorph in this dataset**: 2.40 eV/f.u.
**Total magnetic moment**: 0.00 Bohr magnetons per cell

a b c (Å): 4.5636 4.5636 4.5636
angles (deg): 60.00 60.00 60.00
Atoms (fractional coordinates):
Si: 0.0000 0.0000 0.0000
Au: 0.7500 0.7500 0.7500
Cl: 0.5000 0.5000 0.5000

=====

This record from the Alexandria database describes Si2AuCl after structural relaxation. The functional is PBE.

Values from the calculation:
**Raw formation energy**: 8 kJ/mol of formula units
**Final energy**: -15.88 eV/cell
**Energy above the most stable polymorph in this dataset**: 1.27 eV/f.u.
**Total magnetic moment**: 0.00 Bohr magnetons per cell

a b c (Å): 4.3469 3.8890 6.3426
angles (deg): 90.00 92.85 90.00
Atoms (fractional coordinates):
Si: 0.0000 0.0000 0.0000
Si: 0.0095 0.5000 0.7980
Au: 0.4896 0.5000 0.6419
Cl: 0.6223 0.0000 0.2016

=====

This record from the Alexandria database describes Si2AuCl after structural relaxation. The functional is PBE.

Values from the calculation:
**Raw formation energy**: 61 kJ/mol of formula units
**Final energy**: -15.34 eV/cell
**Energy above the most stable polymorph in this dataset**: 1.81 eV/f.u.
**Total magnetic moment**: 0.00 Bohr magnetons per cell

a b c (Å): 5.0773 5.0773 3.0177
angles (deg): 90.90 90.90 89.87
Atoms (fractional coordinates):
Si: 0.0000 0.5000 0.0000
Si: 0.5000 0.0000 0.0000
Au: 0.0000 0.0000 0.0000
Cl: 0.5000 0.5000 0.0000

=====

This record from the Alexandria database describes Si2AuCl after structural relaxation. The functional is PBE.

Values from the calculation:
**Raw formation energy**: 226 kJ/mol of formula units
**Final energy**: -13.62 eV/cell
**Energy above the most stable polymorph in this dataset**: 3.53 eV/f.u.
**Total magnetic moment**: 0.00 Bohr magnetons per cell

a b c (Å): 4.6660 4.6660 4.6660
angles (deg): 60.00 60.00 60.00
Atoms (fractional coordinates):
Si: 0.0000 0.0000 0.0000
Si: 0.2500 0.2500 0.2500
Au: 0.7500 0.7500 0.7500
Cl: 0.5000 0.5000 0.5000

=====

This record from the Alexandria database describes SiAuCl after structural relaxation. The functional is PBE.

Values from the calculation:
**Raw formation energy**: 2 kJ/mol of formula units
**Final energy**: -10.53 eV/cell
**Energy above the most stable polymorph in this dataset**: 1.18 eV/f.u.
**Total magnetic moment**: 0.00 Bohr magnetons per cell

a b c (Å): 3.7357 3.7357 5.3237
angles (deg): 90.00 90.00 120.00
Atoms (fractional coordinates):
Si: 0.0000 0.0000 0.0000
Au: 0.6667 0.3333 0.2409
Cl: 0.3333 0.6667 0.6666

=====

This record from the Alexandria database describes Si2AuCl after structural relaxation. The functional is PBE.

Values from the calculation:
**Raw formation energy**: -84 kJ/mol of formula units
**Final energy**: -33.68 eV/cell
**Energy above the most stable polymorph in this dataset**: 0.31 eV/f.u.
**Total magnetic moment**: 0.00 Bohr magnetons per cell

a b c (Å): 4.1052 4.1052 13.4723
angles (deg): 95.11 95.11 54.34
Atoms (fractional coordinates):
Si: 0.0000 0.0000 0.0000
Si: 0.3495 0.3495 0.8327
Si: 0.5200 0.5200 0.1134
Si: 0.9313 0.9313 0.2807
Au: 0.2360 0.2360 0.2063
Au: 0.6817 0.6817 0.9071
Cl: 0.3095 0.3095 0.6785
Cl: 0.9490 0.9490 0.4349

=====

This record from the Alexandria database describes SiAuCl after structural relaxation. The functional is PBE.

Values from the calculation:
**Raw formation energy**: -96 kJ/mol of formula units
**Final energy**: -11.54 eV/cell
**Energy above the most stable polymorph in this dataset**: 0.16 eV/f.u.
**Total magnetic moment**: 0.00 Bohr magnetons per cell

a b c (Å): 6.4951 6.4951 6.4951
angles (deg): 148.37 148.37 45.34
Atoms (fractional coordinates):
Si: 0.0000 0.0000 0.0000
Au: 0.4594 0.4594 0.0000
Cl: 0.1745 0.1745 0.0000

=====

This record from the Alexandria database describes Si3AuCl after structural relaxation. The functional is PBE.

Values from the calculation:
**Raw formation energy**: 566 kJ/mol of formula units
**Final energy**: -15.53 eV/cell
**Energy above the most stable polymorph in this dataset**: 1.43 eV/f.u.
**Total magnetic moment**: 0.00 Bohr magnetons per cell

a b c (Å): 4.6802 4.6802 4.6802
angles (deg): 90.00 90.00 90.00
Atoms (fractional coordinates):
Si: 0.0000 0.0000 0.5000
Si: 0.0000 0.5000 0.0000
Si: 0.5000 0.0000 0.0000
Au: 0.5000 0.5000 0.5000
Cl: 0.0000 0.0000 0.0000

=====

Q: Look up the raw formation energy of the first one.
A: 120 kJ/mol of formula units

=====

Q: Among the records above, which one has the highest energy above the most stable polymorph in this dataset?
A: number 4

=====

Q: Among the records above, which one has the lowest energy above the most stable polymorph in this dataset?
A: number 7

=====

Q: What is the final energy in the fourth record?
A: -13.62 eV/cell